# PmScPb PBE relaxed
data_PmScPb
_cell_length_a 7.352
_cell_length_b 7.352
_cell_length_c 7.352
_cell_angle_alpha 90.00
_cell_angle_beta 90.00
_cell_angle_gamma 90.00
_space_group_name_H-M_alt 'F -4 3 m'
_space_group_IT_number 216
_space_group_name_Hall 'F -4 2 3'
loop_
_atom_site_label
_atom_site_type_symbol
_atom_site_fract_x
_atom_site_fract_y
_atom_site_fract_z
Pm1 Pm 0.000 0.000 0.000
Sc1 Sc 0.250 0.250 0.250
Pb1 Pb 0.250 0.250 0.750
# Total energy in eV/atom: -4.57
# Crystal system: cubic
# Polymorph energy (0 for the lowest one) in eV per formula unit: 1.62


# PmPbSe2 PBE relaxed
data_PmPbSe2
_cell_length_a 4.284
_cell_length_b 4.284
_cell_length_c 6.082
_cell_angle_alpha 90.00
_cell_angle_beta 90.00
_cell_angle_gamma 90.00
_space_group_name_H-M_alt 'P 4/m m m'
_space_group_IT_number 123
_space_group_name_Hall '-P 4 2'
loop_
_atom_site_label
_atom_site_type_symbol
_atom_site_fract_x
_atom_site_fract_y
_atom_site_fract_z
Pm1 Pm 0.000 0.000 0.000
Pb1 Pb 0.500 0.500 0.500
Se1 Se 0.000 0.000 0.500
Se2 Se 0.500 0.500 0.000
# Total energy in eV/atom: -4.98
# Crystal system: tetragonal


# Pm2Si2Pb PBE relaxed
data_Pm2Si2Pb
_cell_length_a 3.900
_cell_length_b 14.927
_cell_length_c 4.236
_cell_angle_alpha 90.00
_cell_angle_beta 90.00
_cell_angle_gamma 90.00
_space_group_name_H-M_alt 'C m m m'
_space_group_IT_number 65
_space_group_name_Hall '-C 2 2'
loop_
_atom_site_label
_atom_site_type_symbol
_atom_site_fract_x
_atom_site_fract_y
_atom_site_fract_z
Pm1 Pm 0.000 0.139 0.000
Si1 Si 0.000 0.297 0.500
Pb1 Pb 0.000 0.500 0.500
# Total energy in eV/atom: -5.47
# Crystal system: orthorhombic


# Pm5Si2Pb PBE relaxed
data_Pm5Si2Pb
_cell_length_a 7.888
_cell_length_b 7.888
_cell_length_c 14.502
_cell_angle_alpha 90.00
_cell_angle_beta 90.00
_cell_angle_gamma 90.00
_space_group_name_H-M_alt 'I 4/m c m'
_space_group_IT_number 140
_space_group_name_Hall '-I 4 2c'
loop_
_atom_site_label
_atom_site_type_symbol
_atom_site_fract_x
_atom_site_fract_y
_atom_site_fract_z
Pm1 Pm 0.000 0.000 0.000
Pm2 Pm 0.171 0.329 0.138
Si1 Si 0.123 0.377 0.500
Pb1 Pb 0.000 0.000 0.250
# Total energy in eV/atom: -5.39
# Crystal system: tetragonal


# PmSmPb PBE relaxed
data_PmSmPb
_cell_length_a 7.532
_cell_length_b 7.532
_cell_length_c 7.532
_cell_angle_alpha 90.00
_cell_angle_beta 90.00
_cell_angle_gamma 90.00
_space_group_name_H-M_alt 'F -4 3 m'
_space_group_IT_number 216
_space_group_name_Hall 'F -4 2 3'
loop_
_atom_site_label
_atom_site_type_symbol
_atom_site_fract_x
_atom_site_fract_y
_atom_site_fract_z
Pm1 Pm 0.000 0.000 0.000
Sm1 Sm 0.250 0.250 0.750
Pb1 Pb 0.000 0.000 0.500
# Total energy in eV/atom: -4.10
# Crystal system: cubic
# Polymorph energy (0 for the lowest one) in eV per formula unit: 0.00


# Pm4SnPb2 PBE relaxed
data_Pm4SnPb2
_cell_length_a 9.608
_cell_length_b 9.608
_cell_length_c 9.593
_cell_angle_alpha 90.00
_cell_angle_beta 90.00
_cell_angle_gamma 90.00
_space_group_name_H-M_alt 'I -4 2 d'
_space_group_IT_number 122
_space_group_name_Hall 'I -4 2bw'
loop_
_atom_site_label
_atom_site_type_symbol
_atom_site_fract_x
_atom_site_fract_y
_atom_site_fract_z
Pm1 Pm 0.069 0.682 0.446
Sn1 Sn 0.000 0.000 0.500
Pb1 Pb 0.124 0.750 0.125
# Total energy in eV/atom: -4.98
# Crystal system: tetragonal


# PmSnPb PBE relaxed
data_PmSnPb
_cell_length_a 7.448
_cell_length_b 7.448
_cell_length_c 7.448
_cell_angle_alpha 90.00
_cell_angle_beta 90.00
_cell_angle_gamma 90.00
_space_group_name_H-M_alt 'F -4 3 m'
_space_group_IT_number 216
_space_group_name_Hall 'F -4 2 3'
loop_
_atom_site_label
_atom_site_type_symbol
_atom_site_fract_x
_atom_site_fract_y
_atom_site_fract_z
Pm1 Pm 0.000 0.000 0.000
Sn1 Sn 0.250 0.250 0.750
Pb1 Pb 0.000 0.000 0.500
# Total energy in eV/atom: -4.33
# Crystal system: cubic


# Pm4SnPb3 PBE relaxed
data_Pm4SnPb3
_cell_length_a 4.459
_cell_length_b 4.654
_cell_length_c 11.828
_cell_angle_alpha 90.00
_cell_angle_beta 90.00
_cell_angle_gamma 90.00
_space_group_name_H-M_alt 'P m m 2'
_space_group_IT_number 25
_space_group_name_Hall 'P 2 -2'
loop_
_atom_site_label
_atom_site_type_symbol
_atom_site_fract_x
_atom_site_fract_y
_atom_site_fract_z
Pm1 Pm 0.000 0.000 0.000
Pm2 Pm 0.000 0.500 0.494
Pm3 Pm 0.500 0.000 0.731
Pm4 Pm 0.500 0.500 0.232
Sn1 Sn 0.000 0.000 0.270
Pb1 Pb 0.000 0.500 0.767
Pb2 Pb 0.500 0.000 0.459
Pb3 Pb 0.500 0.500 0.960
# Total energy in eV/atom: -4.88
# Crystal system: orthorhombic


# PmTaPb PBE relaxed
data_PmTaPb
_cell_length_a 7.247
_cell_length_b 7.247
_cell_length_c 7.247
_cell_angle_alpha 90.00
_cell_angle_beta 90.00
_cell_angle_gamma 90.00
_space_group_name_H-M_alt 'F -4 3 m'
_space_group_IT_number 216
_space_group_name_Hall 'F -4 2 3'
loop_
_atom_site_label
_atom_site_type_symbol
_atom_site_fract_x
_atom_site_fract_y
_atom_site_fract_z
Pm1 Pm 0.000 0.000 0.000
Ta1 Ta 0.250 0.250 0.250
Pb1 Pb 0.250 0.250 0.750
# Total energy in eV/atom: -5.62
# Crystal system: cubic
# Polymorph energy (0 for the lowest one) in eV per formula unit: 1.44


# PmTaPb PBE relaxed
data_PmTaPb
_cell_length_a 7.005
_cell_length_b 7.005
_cell_length_c 7.005
_cell_angle_alpha 90.00
_cell_angle_beta 90.00
_cell_angle_gamma 90.00
_space_group_name_H-M_alt 'F -4 3 m'
_space_group_IT_number 216
_space_group_name_Hall 'F -4 2 3'
loop_
_atom_site_label
_atom_site_type_symbol
_atom_site_fract_x
_atom_site_fract_y
_atom_site_fract_z
Pm1 Pm 0.000 0.000 0.000
Ta1 Ta 0.000 0.000 0.500
Pb1 Pb 0.250 0.250 0.250
# Total energy in eV/atom: -6.10
# Crystal system: cubic
# Polymorph energy (0 for the lowest one) in eV per formula unit: 0.00


# PmTePb PBE relaxed
data_PmTePb
_cell_length_a 7.518
_cell_length_b 7.518
_cell_length_c 7.518
_cell_angle_alpha 90.00
_cell_angle_beta 90.00
_cell_angle_gamma 90.00
_space_group_name_H-M_alt 'F -4 3 m'
_space_group_IT_number 216
_space_group_name_Hall 'F -4 2 3'
loop_
_atom_site_label
_atom_site_type_symbol
_atom_site_fract_x
_atom_site_fract_y
_atom_site_fract_z
Pm1 Pm 0.000 0.000 0.000
Te1 Te 0.250 0.250 0.250
Pb1 Pb 0.250 0.250 0.750
# Total energy in eV/atom: -4.24
# Crystal system: cubic
# Polymorph energy (0 for the lowest one) in eV per formula unit: 0.18


# PmTePb PBE relaxed
data_PmTePb
_cell_length_a 7.432
_cell_length_b 7.432
_cell_length_c 7.432
_cell_angle_alpha 90.00
_cell_angle_beta 90.00
_cell_angle_gamma 90.00
_space_group_name_H-M_alt 'F -4 3 m'
_space_group_IT_number 216
_space_group_name_Hall 'F -4 2 3'
loop_
_atom_site_label
_atom_site_type_symbol
_atom_site_fract_x
_atom_site_fract_y
_atom_site_fract_z
Pm1 Pm 0.000 0.000 0.000
Te1 Te 0.250 0.250 0.750
Pb1 Pb 0.000 0.000 0.500
# Total energy in eV/atom: -4.30
# Crystal system: cubic
# Polymorph energy (0 for the lowest one) in eV per formula unit: 0.00


These records have total magnetic moment values of 1.3, 0.0, 0.0, 1.0, 1.9, 0.0, 0.0, 0.0, 3.2, 1.1, 0.3, 0.0 μB/f.u., in the order they appear.